Compound: HfNiAs
Source: the Alexandria database
Functional: meta-GGA SCAN
Structure: PBEsol geometry Values from VASP.

Results
- Formation energy: -0.87 eV per atom
- Magnetic moment: 0.00 μB per atom

```
&SYSTEM
  ibrav = 0, nat = 12, ntyp = 3
/
ATOMIC_SPECIES
Ni 58.69 Ni.upf
As 74.92 As.upf
Hf 178.49 Hf.upf
CELL_PARAMETERS angstrom
3.8250 0.0000 0.0000
0.0000 6.3663 0.0000
0.0000 0.0000 7.2227
ATOMIC_POSITIONS angstrom
Ni 2.8687 2.1276 3.0712
Ni 0.9562 4.2388 4.1514
Ni 2.8687 5.3107 0.5401
Ni 0.9562 1.0556 6.6826
As 0.9562 1.7970 4.3834
As 2.8687 4.5693 2.8392
As 0.9562 4.9802 6.4506
As 2.8687 1.3862 0.7721
Hf 2.8687 3.0962 5.8754
Hf 0.9562 3.2702 1.3472
Hf 2.8687 6.2793 4.9586
Hf 0.9562 0.0870 2.2641
```



Compound: BaSr7Ti8O24
Source: the Alexandria database
Functional: meta-GGA SCAN
Structure: PBEsol geometry Values from VASP.

Results
- Uncorrected formation energy: -3454 meV per atom
- Magnetic moment: 0.00 μB per atom

```
&SYSTEM
  ibrav = 0, nat = 40, ntyp = 4
/
ATOMIC_SPECIES
Ba 137.33 Ba.upf
Sr 87.62 Sr.upf
Ti 47.87 Ti.upf
O 16.00 O.upf
CELL_PARAMETERS angstrom
-1.1219 -5.4622 -5.4808
-5.0963 -3.6457 4.6765
-5.8226 4.2434 -3.0372
ATOMIC_POSITIONS angstrom
Ba -6.0204 -2.4323 -1.9207
Sr -3.4722 -0.6094 -4.2590
Sr -0.5609 -2.7311 -2.7404
Sr -3.1091 -4.5540 -0.4021
Sr -2.9113 2.1217 -1.5186
Sr 0.0000 0.0000 0.0000
Sr -5.4594 0.2988 0.8197
Sr -2.5481 -1.8229 2.3383
Ti -5.5560 -3.0421 1.3946
Ti -8.4820 -0.9097 -0.1317
Ti -2.9950 -1.2100 -0.9555
Ti -5.9210 0.9224 -2.4818
Ti -6.1198 -5.7870 -1.3597
Ti -9.0458 -3.6545 -2.8859
Ti -3.5588 -3.9549 -3.7097
Ti -6.4847 -1.8225 -5.2360
O -5.8364 -4.4309 0.0334
O -8.7865 -2.2809 -1.5054
O -3.2542 -2.5837 -2.3360
O -6.2044 -0.4337 -3.8749
O -5.2769 -1.6834 2.7578
O -8.2028 0.4490 1.2316
O -2.7160 0.1487 0.4078
O -5.6419 2.2810 -1.1184
O -1.7274 -0.3032 -2.1188
O -4.6533 1.8292 -3.6450
O -4.2611 -2.1235 0.2372
O -7.2112 0.0265 -1.3017
O -2.2912 -3.0480 -4.8730
O -5.2171 -0.9156 -6.3991
O -4.8295 -4.8911 -2.5398
O -7.7797 -2.7410 -4.0786
O -7.0272 -1.9721 0.6525
O -4.1077 -4.0976 2.1499
O -4.4451 -0.1249 -1.7170
O -1.5467 -2.2656 -0.2001
O -7.5957 -4.7396 -2.1245
O -4.6714 -6.8424 -0.6042
O -5.0135 -2.8924 -4.4939
O -2.1105 -5.0104 -2.9542
```



Compound: TcW
Source: the Alexandria database
Functional: meta-GGA SCAN
Structure: PBEsol geometry Values from VASP.

Results
- Formation energy: 0.04 eV per atom
- Distance to the lowest polymorph of the same formula: 0.03 eV per formula unit
- Magnetic moment: 0.00 μB per atom

```
&SYSTEM
  ibrav = 0, nat = 4, ntyp = 2
/
ATOMIC_SPECIES
Tc 98.00 Tc.upf
W 183.84 W.upf
CELL_PARAMETERS angstrom
3.0961 0.0000 0.0000
0.0000 3.0961 0.0000
0.0000 0.0000 6.2605
ATOMIC_POSITIONS angstrom
Tc 1.5481 0.0000 5.3908
Tc 0.0000 1.5481 0.8697
W 1.5481 0.0000 2.3042
W 0.0000 1.5481 3.9563
```



Compound: NaCu2Bi2
Source: the Alexandria database
Functional: meta-GGA SCAN
Structure: PBEsol geometry Values from VASP.

Results
- Formation energy: 0.12 eV per atom
- Distance to the lowest polymorph of the same formula: 0.48 eV per formula unit
- Magnetic moment: 0.00 μB per atom

```
&SYSTEM
  ibrav = 0, nat = 5, ntyp = 3
/
ATOMIC_SPECIES
Na 22.99 Na.upf
Bi 208.98 Bi.upf
Cu 63.55 Cu.upf
CELL_PARAMETERS angstrom
4.8348 0.0000 0.0000
0.0000 4.8348 0.0000
-2.4174 -2.4174 5.0138
ATOMIC_POSITIONS angstrom
Na 0.0000 0.0000 0.0000
Bi 0.0000 2.4174 2.5069
Bi 2.4174 0.0000 2.5069
Cu 0.0000 0.0000 3.8179
Cu 2.4174 2.4174 1.1959
```



Compound: Ba2Li2Hg
Source: the Alexandria database
Functional: meta-GGA SCAN
Structure: PBEsol geometry Values from VASP.

Results
- Formation energy: -0.24 eV per atom
- Magnetic moment: 0.07 μB per atom

```
&SYSTEM
  ibrav = 0, nat = 5, ntyp = 3
/
ATOMIC_SPECIES
Ba 137.33 Ba.upf
Hg 200.59 Hg.upf
Li 6.94 Li.upf
CELL_PARAMETERS angstrom
4.1054 0.0000 0.0000
0.0000 4.1054 0.0000
-2.0527 -2.0527 10.3081
ATOMIC_POSITIONS angstrom
Ba 0.0000 0.0000 8.3485
Ba 2.0527 2.0527 1.9596
Hg 0.0000 0.0000 0.0000
Li 0.0000 2.0527 5.1540
Li 2.0527 0.0000 5.1540
```



Compound: Tl3NiAs
Source: the Alexandria database
Functional: meta-GGA SCAN
Structure: PBEsol geometry Values from VASP.

Results
- Formation energy: 0.90 eV per atom
- Magnetic moment: 0.25 μB per atom

```
&SYSTEM
  ibrav = 0, nat = 5, ntyp = 3
/
ATOMIC_SPECIES
Ni 58.69 Ni.upf
Tl 204.38 Tl.upf
As 74.92 As.upf
CELL_PARAMETERS angstrom
5.4702 0.0000 0.0000
0.0000 5.4702 0.0000
0.0000 0.0000 5.4702
ATOMIC_POSITIONS angstrom
Ni 2.7351 2.7351 2.7351
Tl 0.0000 2.7351 0.0000
Tl 0.0000 0.0000 2.7351
Tl 2.7351 0.0000 0.0000
As 0.0000 0.0000 0.0000
```



Compound: HfSiTe2N
Source: the Alexandria database
Functional: meta-GGA SCAN
Structure: PBEsol geometry Values from VASP.

Results
- Uncorrected formation energy: 293 meV per atom
- Magnetic moment: 0.00 μB per atom

```
&SYSTEM
  ibrav = 0, nat = 5, ntyp = 4
/
ATOMIC_SPECIES
Si 28.09 Si.upf
Te 127.60 Te.upf
Hf 178.49 Hf.upf
N 14.01 N.upf
CELL_PARAMETERS angstrom
3.9129 0.0000 0.0000
0.0000 5.6073 0.0000
0.0000 0.0000 5.6073
ATOMIC_POSITIONS angstrom
Si 1.9565 2.8037 2.8037
Te 0.0000 0.0000 2.8037
Te 0.0000 2.8037 0.0000
Hf 0.0000 0.0000 0.0000
N 1.9565 0.0000 0.0000
```



Compound: HoFeSi
Source: the Alexandria database
Functional: meta-GGA SCAN
Structure: PBEsol geometry Values from VASP.

Results
- Uncorrected formation energy: -577 meV per atom
- Magnetic moment: 0.00 μB per atom

```
&SYSTEM
  ibrav = 0, nat = 6, ntyp = 3
/
ATOMIC_SPECIES
Si 28.09 Si.upf
Ho 164.93 Ho.upf
Fe 55.84 Fe.upf
CELL_PARAMETERS angstrom
3.9747 0.0000 0.0000
0.0000 3.9747 0.0000
0.0000 0.0000 6.3780
ATOMIC_POSITIONS angstrom
Si 0.0000 1.9873 5.2192
Si 1.9873 0.0000 1.1589
Ho 0.0000 1.9873 2.0144
Ho 1.9873 0.0000 4.3636
Fe 0.0000 0.0000 0.0000
Fe 1.9873 1.9873 0.0000
```



Q: Which formula does entry 7 have?
A: HfSiTe2N